*A*
# Rb2BeGeBr6, optimized geometry, DFT PBE-GGA
# Size of the total moment   0.00 μB per formula unit
data_Rb2BeGeBr6
_chemical_formula_sum 'Rb4 Be2 Ge2 Br12'
_symmetry_space_group_name_H-M 'I 4/m m m'
_symmetry_Int_Tables_number 139
_symmetry_space_group_name_Hall '-I 4 2'
_cell_length_a 7.4845
_cell_length_b 7.4845
_cell_length_c 10.6744
_cell_angle_alpha 90.00
_cell_angle_beta 90.00
_cell_angle_gamma 90.00
loop_
_atom_site_label
_atom_site_type_symbol
_atom_site_fract_x
_atom_site_fract_y
_atom_site_fract_z
Rb1 Rb 0.0000 0.5000 0.2500
Be1 Be 0.0000 0.0000 0.0000
Ge1 Ge 0.0000 0.0000 0.5000
Br1 Br 0.0000 0.0000 0.2378
Br2 Br 0.2347 0.2347 0.0000


*B*
# Rb2BeGeBr6, optimized geometry, DFT PBE-GGA
# Size of the total moment   0.00 μB per formula unit
data_Rb2BeGeBr6
_chemical_formula_sum 'Rb2 Be1 Ge1 Br6'
_symmetry_space_group_name_H-M 'P 1'
_symmetry_Int_Tables_number 1
_cell_length_a 7.6567
_cell_length_b 7.6587
_cell_length_c 9.1120
_cell_angle_alpha 90.01
_cell_angle_beta 114.83
_cell_angle_gamma 119.97
loop_
_symmetry_equiv_pos_as_xyz
'x,y,z'
loop_
_atom_site_label
_atom_site_type_symbol
_atom_site_fract_x
_atom_site_fract_y
_atom_site_fract_z
Rb1 Rb 0.0000 0.0000 0.0000
Rb2 Rb 0.0071 0.5036 0.5106
Be1 Be 0.5567 0.7781 0.3354
Ge1 Ge 0.4575 0.2296 0.6855
Br1 Br 0.3335 0.9611 0.8440
Br2 Br 0.3435 0.8676 0.3436
Br3 Br 0.4719 0.5116 0.8448
Br4 Br 0.4755 0.4755 0.3435
Br5 Br 0.8675 0.9994 0.3437
Br6 Br 0.8843 0.3733 0.8446


Energy ordering: *B* at the bottom, the next structure 140 meV per atom above.


*A*
# BeH2Br, optimized geometry, DFT PBE-GGA
# Size of the total moment   0.00 μB per formula unit
data_BeH2Br
_chemical_formula_sum 'Be4 H8 Br4'
_symmetry_space_group_name_H-M 'F m -3 m'
_symmetry_Int_Tables_number 225
_symmetry_space_group_name_Hall '-F 4 2 3'
_cell_length_a 5.4287
_cell_length_b 5.4287
_cell_length_c 5.4287
_cell_angle_alpha 90.00
_cell_angle_beta 90.00
_cell_angle_gamma 90.00
loop_
_atom_site_label
_atom_site_type_symbol
_atom_site_fract_x
_atom_site_fract_y
_atom_site_fract_z
Be1 Be 0.0000 0.0000 0.0000
H1 H 0.2500 0.2500 0.2500
Br1 Br 0.0000 0.0000 0.5000


*B*
# BeH2Br, optimized geometry, DFT PBE-GGA
# Size of the total moment   0.00 μB per formula unit
data_BeH2Br
_chemical_formula_sum 'Be4 H8 Br4'
_symmetry_space_group_name_H-M 'I 41/a m d'
_symmetry_Int_Tables_number 141
_cell_length_a 5.0076
_cell_length_b 5.0076
_cell_length_c 7.1001
_cell_angle_alpha 90.00
_cell_angle_beta 90.00
_cell_angle_gamma 90.00
loop_
_symmetry_equiv_pos_as_xyz
'x,y,z'
'-x,-y,-z'
'-y+1/4,x+3/4,z+1/4'
'y+1/4,-x+3/4,-z+1/4'
'-x+1/2,-y,z+1/2'
'x+1/2,y,-z+1/2'
'y+1/4,-x+1/4,z+3/4'
'-y+1/4,x+1/4,-z+3/4'
'x,-y,-z'
'-x,y,z'
'-y+1/4,-x+1/4,-z+3/4'
'y+1/4,x+1/4,z+3/4'
'-x+1/2,y,-z+1/2'
'x+1/2,-y,z+1/2'
'y+1/4,x+3/4,-z+1/4'
'-y+1/4,-x+3/4,z+1/4'
'x+1/2,y+1/2,z+1/2'
'-x+1/2,-y+1/2,-z+1/2'
'-y+3/4,x+1/4,z+3/4'
'y+3/4,-x+1/4,-z+3/4'
'-x,-y+1/2,z'
'x,y+1/2,-z'
'y+3/4,-x+3/4,z+1/4'
'-y+3/4,x+3/4,-z+1/4'
'x+1/2,-y+1/2,-z+1/2'
'-x+1/2,y+1/2,z+1/2'
'-y+3/4,-x+3/4,-z+1/4'
'y+3/4,x+3/4,z+1/4'
'-x,y+1/2,-z'
'x,-y+1/2,z'
'y+3/4,x+1/4,-z+3/4'
'-y+3/4,-x+1/4,z+3/4'
loop_
_atom_site_label
_atom_site_type_symbol
_atom_site_fract_x
_atom_site_fract_y
_atom_site_fract_z
Be1 Be 0.0000 0.2500 0.3750
H1 H 0.0000 0.0000 0.5000
Br1 Br 0.0000 0.2500 0.8750


Energy ordering: *B* at the bottom, the next structure 864 meV per atom above.


*A*
# BeHSe2Br, optimized geometry, DFT PBE-GGA
# Size of the total moment   1.84 μB per formula unit
data_BeHSe2Br
_chemical_formula_sum 'Be1 H1 Se2 Br1'
_symmetry_space_group_name_H-M 'P 4/m m m'
_symmetry_Int_Tables_number 123
_symmetry_space_group_name_Hall '-P 4 2'
_cell_length_a 4.5307
_cell_length_b 4.5307
_cell_length_c 5.1418
_cell_angle_alpha 90.00
_cell_angle_beta 90.00
_cell_angle_gamma 90.00
loop_
_atom_site_label
_atom_site_type_symbol
_atom_site_fract_x
_atom_site_fract_y
_atom_site_fract_z
Be1 Be 0.0000 0.0000 0.0000
H1 H 0.5000 0.5000 0.5000
Se1 Se 0.0000 0.5000 0.0000
Br1 Br 0.0000 0.0000 0.5000


*B*
# BeHSe2Br, optimized geometry, DFT PBE-GGA
# Size of the total moment   0.00 μB per formula unit
data_BeHSe2Br
_chemical_formula_sum 'Be1 H1 Se2 Br1'
_symmetry_space_group_name_H-M 'P 4/m m m'
_symmetry_Int_Tables_number 123
_symmetry_space_group_name_Hall '-P 4 2'
_cell_length_a 3.8354
_cell_length_b 3.8354
_cell_length_c 7.0708
_cell_angle_alpha 90.00
_cell_angle_beta 90.00
_cell_angle_gamma 90.00
loop_
_atom_site_label
_atom_site_type_symbol
_atom_site_fract_x
_atom_site_fract_y
_atom_site_fract_z
Be1 Be 0.0000 0.0000 0.0000
H1 H 0.5000 0.5000 0.5000
Se1 Se 0.0000 0.5000 0.5000
Br1 Br 0.5000 0.5000 0.0000


Energy ordering: *B* at the bottom, the next structure 80 meV per atom above.


*A*
# HfBeBr2, optimized geometry, DFT PBE-GGA
# Size of the total moment   0.00 μB per formula unit
data_HfBeBr2
_chemical_formula_sum 'Hf4 Be4 Br8'
_symmetry_space_group_name_H-M 'I -4 2 d'
_symmetry_Int_Tables_number 122
_symmetry_space_group_name_Hall 'I -4 2bw'
_cell_length_a 5.9054
_cell_length_b 5.9054
_cell_length_c 10.1546
_cell_angle_alpha 90.00
_cell_angle_beta 90.00
_cell_angle_gamma 90.00
loop_
_atom_site_label
_atom_site_type_symbol
_atom_site_fract_x
_atom_site_fract_y
_atom_site_fract_z
Hf1 Hf 0.0000 0.0000 0.0000
Be1 Be 0.0000 0.0000 0.5000
Br1 Br 0.1763 0.2500 0.6250


*B*
# HfBeBr2, optimized geometry, DFT PBE-GGA
# Size of the total moment   0.00 μB per formula unit
data_HfBeBr2
_chemical_formula_sum 'Hf3 Be3 Br6'
_symmetry_space_group_name_H-M 'R -3 m'
_symmetry_Int_Tables_number 166
_symmetry_space_group_name_Hall '-R 3 2"'
_cell_length_a 3.3475
_cell_length_b 3.3475
_cell_length_c 25.2338
_cell_angle_alpha 90.00
_cell_angle_beta 90.00
_cell_angle_gamma 120.00
loop_
_atom_site_label
_atom_site_type_symbol
_atom_site_fract_x
_atom_site_fract_y
_atom_site_fract_z
Hf1 Hf 0.0000 0.0000 0.0000
Be1 Be 0.0000 0.0000 0.5000
Br1 Br 0.0000 0.0000 0.1105


*C*
# HfBeBr2, optimized geometry, DFT PBE-GGA
# Size of the total moment   0.00 μB per formula unit
data_HfBeBr2
_chemical_formula_sum 'Hf4 Be4 Br8'
_symmetry_space_group_name_H-M 'F m -3 m'
_symmetry_Int_Tables_number 225
_symmetry_space_group_name_Hall '-F 4 2 3'
_cell_length_a 6.7053
_cell_length_b 6.7053
_cell_length_c 6.7053
_cell_angle_alpha 90.00
_cell_angle_beta 90.00
_cell_angle_gamma 90.00
loop_
_atom_site_label
_atom_site_type_symbol
_atom_site_fract_x
_atom_site_fract_y
_atom_site_fract_z
Hf1 Hf 0.0000 0.0000 0.0000
Be1 Be 0.0000 0.0000 0.5000
Br1 Br 0.2500 0.2500 0.2500


Energy ordering: *B* at the bottom, the next structure 374 meV per atom above.


*A*
# HfBe2Br, optimized geometry, DFT PBE-GGA
# Size of the total moment   0.00 μB per formula unit
data_HfBe2Br
_chemical_formula_sum 'Hf4 Be8 Br4'
_symmetry_space_group_name_H-M 'I -4 2 d'
_symmetry_Int_Tables_number 122
_symmetry_space_group_name_Hall 'I -4 2bw'
_cell_length_a 7.0485
_cell_length_b 7.0485
_cell_length_c 5.2626
_cell_angle_alpha 90.00
_cell_angle_beta 90.00
_cell_angle_gamma 90.00
loop_
_atom_site_label
_atom_site_type_symbol
_atom_site_fract_x
_atom_site_fract_y
_atom_site_fract_z
Hf1 Hf 0.0000 0.0000 0.0000
Be1 Be 0.2311 0.2500 0.6250
Br1 Br 0.0000 0.0000 0.5000


*B*
# HfBe2Br, optimized geometry, DFT PBE-GGA
# Size of the total moment   0.00 μB per formula unit
data_HfBe2Br
_chemical_formula_sum 'Hf4 Be8 Br4'
_symmetry_space_group_name_H-M 'F m -3 m'
_symmetry_Int_Tables_number 225
_symmetry_space_group_name_Hall '-F 4 2 3'
_cell_length_a 6.4329
_cell_length_b 6.4329
_cell_length_c 6.4329
_cell_angle_alpha 90.00
_cell_angle_beta 90.00
_cell_angle_gamma 90.00
loop_
_atom_site_label
_atom_site_type_symbol
_atom_site_fract_x
_atom_site_fract_y
_atom_site_fract_z
Hf1 Hf 0.0000 0.0000 0.0000
Be1 Be 0.2500 0.2500 0.2500
Br1 Br 0.0000 0.0000 0.5000


Energy ordering: *A* at the bottom, the next structure 396 meV per atom above.